(1)
Entry from Alexandria: a relaxed Pr2PaPd crystal (GGA-PBE).

Cell: 3.590 3.590 8.304 Å, 90.00 90.00 90.00°
Element x y z (fractional)
Pr: 0.000 0.000 0.778
Pr: 0.000 0.000 0.222
Pa: 0.500 0.500 0.500
Pd: 0.500 0.500 0.000

Results
- SG: P4/mmm (123)
- DOS at the Fermi energy: 5.41 states/eV/f.u.
- Size of the total moment: 0.0 μB/cell

***

(2)
Entry from Alexandria: a relaxed Pr2PaPd crystal (GGA-PBE).

Cell: 3.315 3.315 11.416 Å, 81.65 81.65 60.00°
Element x y z (fractional)
Pr: 0.096 0.096 0.711
Pr: 0.904 0.904 0.289
Pa: 0.000 0.000 0.000
Pd: 0.500 0.500 0.500

Results
- SG: R-3m (166)
- DOS at the Fermi energy: 4.17 states/eV/f.u.
- Size of the total moment: 0.0 μB/cell

***

Which structure is the most stable? The one labeled (1).

***

(1)
Entry from Alexandria: a relaxed PaPd6Pt crystal (GGA-PBE).

Cell: 5.850 5.850 5.883 Å, 105.35 105.35 120.96°
Element x y z (fractional)
Pa: 0.000 0.000 0.000
Pd: 0.248 0.248 0.760
Pd: 0.487 0.018 0.251
Pd: 0.752 0.752 0.240
Pd: 0.982 0.513 0.749
Pd: 0.513 0.982 0.749
Pd: 0.018 0.487 0.251
Pt: 0.500 0.500 0.500

Results
- SG: C2/m (12)
- DOS at the Fermi energy: 4.74 states/eV/f.u.
- Size of the total moment: 0.0 μB/cell

***

(2)
Entry from Alexandria: a relaxed PaPd6Pt crystal (GGA-PBE).

Cell: 4.053 5.719 5.719 Å, 90.01 90.00 90.00°
Element x y z (fractional)
Pa: 0.500 0.000 0.000
Pd: 0.000 0.749 0.251
Pd: 0.000 0.251 0.749
Pd: 0.000 0.749 0.749
Pd: 0.000 0.251 0.251
Pd: 0.500 0.500 0.000
Pd: 0.500 0.000 0.500
Pt: 0.500 0.500 0.500

Results
- SG: P4/mmm (123)
- DOS at the Fermi energy: 5.90 states/eV/f.u.
- Size of the total moment: 0.0 μB/cell

***

Which structure is the most stable? The one labeled (2).

***

(1)
Entry from Alexandria: a relaxed PaPdPt3 crystal (GGA-PBE).

Cell: 5.790 8.031 8.031 Å, 149.29 110.74 69.26°
Element x y z (fractional)
Pa: 0.639 0.613 0.387
Pa: 0.361 0.387 0.613
Pd: 0.827 0.193 0.807
Pd: 0.173 0.807 0.193
Pt: 0.844 0.406 0.594
Pt: 0.700 0.809 0.191
Pt: 0.300 0.191 0.809
Pt: 0.156 0.594 0.406
Pt: 0.000 0.000 0.000
Pt: 0.500 0.000 0.000

Results
- SG: C2/m (12)
- DOS at the Fermi energy: 0.87 states/eV/f.u.
- Size of the total moment: 0.0 μB/cell

***

(2)
Entry from Alexandria: a relaxed PaPdPt3 crystal (GGA-PBE).

Cell: 4.205 6.439 6.900 Å, 90.00 90.00 90.00°
Element x y z (fractional)
Pa: 0.000 0.000 0.540
Pa: 0.500 0.500 0.460
Pd: 0.500 0.000 0.233
Pd: 0.000 0.500 0.767
Pt: 0.000 0.711 0.232
Pt: 0.500 0.789 0.768
Pt: 0.500 0.211 0.768
Pt: 0.000 0.289 0.232
Pt: 0.000 0.000 0.951
Pt: 0.500 0.500 0.049

Results
- SG: Pmmn (59)
- DOS at the Fermi energy: 3.37 states/eV/f.u.
- Size of the total moment: 0.0 μB/cell

***

Which structure is the most stable? The one labeled (1).

***

(1)
Entry from Alexandria: a relaxed Pa2Pd5Pt5 crystal (GGA-PBE).

Cell: 4.125 6.361 8.855 Å, 72.06 76.53 71.08°
Element x y z (fractional)
Pa: 0.917 0.414 0.752
Pa: 0.083 0.586 0.248
Pd: 0.833 0.834 0.500
Pd: 0.254 0.744 0.748
Pd: 0.746 0.256 0.252
Pd: 0.167 0.166 0.500
Pd: 0.000 0.000 0.000
Pt: 0.500 0.500 0.500
Pt: 0.333 0.327 0.007
Pt: 0.419 0.911 0.251
Pt: 0.581 0.089 0.749
Pt: 0.667 0.673 0.993

Results
- SG: C2/m (12)
- DOS at the Fermi energy: 3.80 states/eV/f.u.
- Size of the total moment: 0.0 μB/cell

***

(2)
Entry from Alexandria: a relaxed Pa2Pd5Pt5 crystal (GGA-PBE).

Cell: 4.152 6.367 9.180 Å, 114.41 90.00 109.03°
Element x y z (fractional)
Pa: 0.083 0.167 0.751
Pa: 0.917 0.833 0.249
Pd: 0.500 0.000 0.500
Pd: 0.664 0.328 0.004
Pd: 0.581 0.163 0.251
Pd: 0.419 0.837 0.749
Pd: 0.336 0.672 0.996
Pt: 0.165 0.331 0.498
Pt: 0.745 0.490 0.751
Pt: 0.255 0.510 0.249
Pt: 0.835 0.669 0.502
Pt: 0.000 0.000 0.000

Results
- SG: C2/m (12)
- DOS at the Fermi energy: 4.43 states/eV/f.u.
- Size of the total moment: 0.0 μB/cell

***

Which structure is the most stable? The one labeled (1).

***

(1)
Entry from Alexandria: a relaxed PaPd5Pt crystal (GGA-PBE).

Cell: 5.566 7.794 6.871 Å, 124.56 98.54 90.00°
Element x y z (fractional)
Pa: 0.750 0.271 0.500
Pa: 0.250 0.729 0.500
Pd: 0.524 0.774 0.870
Pd: 0.347 0.928 0.281
Pd: 0.024 0.596 0.870
Pd: 0.750 0.653 0.500
Pd: 0.153 0.147 0.719
Pd: 0.847 0.853 0.281
Pd: 0.250 0.347 0.500
Pd: 0.976 0.404 0.130
Pd: 0.653 0.072 0.719
Pd: 0.476 0.226 0.130
Pt: 0.000 0.000 0.000
Pt: 0.500 0.500 0.000

Results
- SG: C2/c (15)
- DOS at the Fermi energy: 2.67 states/eV/f.u.
- Size of the total moment: 0.0 μB/cell

***

(2)
Entry from Alexandria: a relaxed PaPd5Pt crystal (GGA-PBE).

Cell: 6.903 5.466 6.352 Å, 115.48 122.91 90.00°
Element x y z (fractional)
Pa: 0.813 0.500 0.000
Pd: 0.381 0.251 0.502
Pd: 0.444 0.500 0.000
Pd: 0.880 0.749 0.498
Pd: 0.128 0.245 0.000
Pd: 0.128 0.755 0.000
Pt: 0.757 0.000 0.000

Results
- SG: Imm2 (44)
- DOS at the Fermi energy: 2.75 states/eV/f.u.
- Size of the total moment: 0.0 μB/cell

***

Which structure is the most stable? The one labeled (1).

***

(1)
Entry from Alexandria: a relaxed Pa2PdPt2 crystal (GGA-PBE).

Cell: 3.704 7.599 7.599 Å, 90.00 90.00 90.00°
Element x y z (fractional)
Pa: 0.000 0.674 0.326
Pa: 0.000 0.826 0.826
Pa: 0.000 0.174 0.174
Pa: 0.000 0.326 0.674
Pd: 0.500 0.500 0.000
Pd: 0.500 0.000 0.500
Pt: 0.500 0.368 0.368
Pt: 0.500 0.868 0.132
Pt: 0.500 0.132 0.868
Pt: 0.500 0.632 0.632

Results
- SG: P4/mbm (127)
- DOS at the Fermi energy: 5.78 states/eV/f.u.
- Size of the total moment: 0.0 μB/cell

***

(2)
Entry from Alexandria: a relaxed Pa2PdPt2 crystal (GGA-PBE).

Cell: 3.560 6.635 9.037 Å, 90.00 90.00 90.00°
Element x y z (fractional)
Pa: 0.000 0.645 0.179
Pa: 0.000 0.355 0.821
Pa: 0.000 0.145 0.321
Pa: 0.000 0.855 0.679
Pd: 0.000 0.000 0.000
Pd: 0.000 0.500 0.500
Pt: 0.500 0.815 0.400
Pt: 0.500 0.185 0.600
Pt: 0.500 0.315 0.100
Pt: 0.500 0.685 0.900

Results
- SG: Pbam (55)
- DOS at the Fermi energy: 6.17 states/eV/f.u.
- Size of the total moment: 0.0 μB/cell

***

Which structure is the most stable? The one labeled (1).

***

(1)
Entry from Alexandria: a relaxed PaPd2Pt crystal (GGA-PBE).

Cell: 5.056 5.748 5.756 Å, 120.05 90.00 90.00°
Element x y z (fractional)
Pa: 0.750 0.654 0.327
Pa: 0.250 0.346 0.673
Pd: 0.750 0.151 0.324
Pd: 0.250 0.849 0.676
Pd: 0.250 0.849 0.173
Pd: 0.750 0.151 0.827
Pt: 0.250 0.341 0.170
Pt: 0.750 0.659 0.830

Results
- SG: Cmcm (63)
- DOS at the Fermi energy: 2.37 states/eV/f.u.
- Size of the total moment: 0.0 μB/cell

***

(2)
Entry from Alexandria: a relaxed PaPd2Pt crystal (GGA-PBE).

Cell: 4.704 4.704 4.704 Å, 60.00 60.00 60.00°
Element x y z (fractional)
Pa: 0.500 0.500 0.500
Pd: 0.250 0.250 0.250
Pd: 0.750 0.750 0.750
Pt: 0.000 0.000 0.000

Results
- SG: Fm-3m (225)
- DOS at the Fermi energy: 5.45 states/eV/f.u.
- Size of the total moment: 0.0 μB/cell

***

(3)
Entry from Alexandria: a relaxed PaPd2Pt crystal (GGA-PBE).

Cell: 4.294 4.120 4.120 Å, 90.00 90.00 90.00°
Element x y z (fractional)
Pa: 0.500 0.500 0.500
Pd: 0.000 0.000 0.500
Pd: 0.000 0.500 0.000
Pt: 0.500 0.000 0.000

Results
- SG: P4/mmm (123)
- DOS at the Fermi energy: 5.26 states/eV/f.u.
- Size of the total moment: 0.7 μB/cell

***

(4)
Entry from Alexandria: a relaxed PaPd2Pt crystal (GGA-PBE).

Cell: 5.216 11.979 4.341 Å, 43.63 114.32 126.67°
Element x y z (fractional)
Pa: 0.468 0.667 0.901
Pa: 0.532 0.333 0.099
Pd: 0.000 0.500 0.500
Pd: 0.000 0.000 0.500
Pd: 0.491 0.888 0.970
Pd: 0.509 0.112 0.030
Pt: 0.084 0.271 0.502
Pt: 0.916 0.729 0.498

Results
- SG: P-1 (2)
- DOS at the Fermi energy: 2.53 states/eV/f.u.
- Size of the total moment: 0.0 μB/cell

***

Which structure is the most stable? The one labeled (1).

***

(1)
Entry from Alexandria: a relaxed PaPd2Pt4 crystal (GGA-PBE).

Cell: 7.385 7.278 7.142 Å, 119.65 120.98 95.15°
Element x y z (fractional)
Pa: 0.123 0.643 0.543
Pa: 0.002 0.034 0.005
Pd: 0.681 0.600 0.368
Pd: 0.241 0.292 0.599
Pd: 0.706 0.319 0.911
Pd: 0.433 0.758 0.082
Pt: 0.866 0.097 0.612
Pt: 0.559 0.655 0.716
Pt: 0.482 0.205 0.376
Pt: 0.744 0.140 0.188
Pt: 0.956 0.565 0.794
Pt: 0.933 0.816 0.243
Pt: 0.214 0.507 0.184
Pt: 0.310 0.119 0.878

Results
- SG: P1 (1)
- DOS at the Fermi energy: 3.36 states/eV/f.u.
- Size of the total moment: 0.0 μB/cell

***

(2)
Entry from Alexandria: a relaxed PaPd2Pt4 crystal (GGA-PBE).

Cell: 5.592 5.592 9.501 Å, 90.00 90.00 119.20°
Element x y z (fractional)
Pa: 0.500 0.500 0.250
Pa: 0.500 0.500 0.750
Pd: 0.250 0.750 0.000
Pd: 0.750 0.250 0.000
Pd: 0.250 0.750 0.500
Pd: 0.750 0.250 0.500
Pt: 0.762 0.762 0.000
Pt: 0.238 0.238 0.000
Pt: 0.238 0.238 0.500
Pt: 0.762 0.762 0.500
Pt: 0.500 0.000 0.250
Pt: 0.000 0.500 0.250
Pt: 0.500 0.000 0.750
Pt: 0.000 0.500 0.750

Results
- SG: Cmmm (65)
- DOS at the Fermi energy: 5.86 states/eV/f.u.
- Size of the total moment: 0.0 μB/cell

***

Which structure is the most stable? The one labeled (1).

***

(1)
Entry from Alexandria: a relaxed PaPd5Pt5 crystal (GGA-PBE).

Cell: 4.986 7.751 5.392 Å, 90.02 90.00 108.76°
Element x y z (fractional)
Pa: 0.000 0.000 0.000
Pd: 0.602 0.203 0.499
Pd: 0.679 0.358 0.000
Pd: 0.000 0.000 0.500
Pd: 0.321 0.642 0.000
Pd: 0.398 0.797 0.501
Pt: 0.835 0.670 0.257
Pt: 0.835 0.670 0.743
Pt: 0.500 0.000 0.000
Pt: 0.165 0.330 0.257
Pt: 0.165 0.330 0.743

Results
- SG: Cmmm (65)
- DOS at the Fermi energy: 11.49 states/eV/f.u.
- Size of the total moment: 0.0 μB/cell

***

(2)
Entry from Alexandria: a relaxed PaPd5Pt5 crystal (GGA-PBE).

Cell: 5.650 4.874 10.101 Å, 71.96 46.58 74.02°
Element x y z (fractional)
Pa: 0.000 0.000 0.000
Pd: 0.153 0.492 0.171
Pd: 0.176 0.014 0.662
Pd: 0.500 0.000 0.000
Pd: 0.824 0.986 0.338
Pd: 0.847 0.508 0.829
Pt: 0.325 0.990 0.339
Pt: 0.352 0.507 0.821
Pt: 0.000 0.500 0.500
Pt: 0.648 0.493 0.179
Pt: 0.675 0.010 0.661

Results
- SG: P-1 (2)
- DOS at the Fermi energy: 10.81 states/eV/f.u.
- Size of the total moment: 0.0 μB/cell

***

Which structure is the most stable? The one labeled (2).

***

(1)
Entry from Alexandria: a relaxed PaPd2Pt2 crystal (GGA-PBE).

Cell: 3.772 3.772 9.038 Å, 102.04 102.04 90.00°
Element x y z (fractional)
Pa: 0.000 0.000 0.000
Pd: 0.750 0.250 0.500
Pd: 0.250 0.750 0.500
Pt: 0.863 0.863 0.726
Pt: 0.137 0.137 0.274

Results
- SG: I4/mmm (139)
- DOS at the Fermi energy: 3.99 states/eV/f.u.
- Size of the total moment: 0.2 μB/cell

***

(2)
Entry from Alexandria: a relaxed PaPd2Pt2 crystal (GGA-PBE).

Cell: 4.597 4.597 10.566 Å, 90.00 90.00 120.00°
Element x y z (fractional)
Pa: 0.000 0.000 0.250
Pa: 0.000 0.000 0.750
Pd: 0.667 0.333 0.750
Pd: 0.000 0.000 0.000
Pd: 0.000 0.000 0.500
Pd: 0.333 0.667 0.250
Pt: 0.333 0.667 0.616
Pt: 0.667 0.333 0.116
Pt: 0.667 0.333 0.384
Pt: 0.333 0.667 0.884

Results
- SG: P6_3/mmc (194)
- DOS at the Fermi energy: 3.02 states/eV/f.u.
- Size of the total moment: 0.0 μB/cell

***

Which structure is the most stable? The one labeled (2).